No. 1
Crystalline Rb2Ag3S4 at its relaxed geometry, computed with PBE.

Cell lengths 8.928, 7.890, 6.290 Å; angles 77.13, 59.49, 43.38 degrees
Positions (direct):
Ag  0.500  0.500  0.000
Ag  0.000  0.000  0.500
Ag  0.500  0.500  0.500
Rb  0.832  0.832  0.168
Rb  0.168  0.168  0.832
S  0.459  0.782  0.218
S  0.218  0.541  0.459
S  0.782  0.459  0.541
S  0.541  0.218  0.782

Values from the calculation:
Electronic total energy ... -29.89 eV per cell
Space-group type ... Fmmm (69)



No. 2
Crystalline Rb2AgSbS4 at its relaxed geometry, computed with PBE.

Cell lengths 8.315, 10.962, 10.525 Å; angles 90.00, 91.54, 90.00 degrees
Positions (direct):
Ag  0.871  0.968  0.220
Ag  0.629  0.468  0.280
Ag  0.371  0.532  0.720
Ag  0.129  0.032  0.780
Rb  0.641  0.728  0.009
Rb  0.127  0.491  0.237
Rb  0.373  0.991  0.263
Rb  0.859  0.228  0.491
Rb  0.141  0.772  0.509
Rb  0.627  0.009  0.737
Rb  0.873  0.509  0.763
Rb  0.359  0.272  0.991
S  0.661  0.069  0.050
S  0.741  0.423  0.060
S  0.016  0.774  0.160
S  0.043  0.185  0.208
S  0.457  0.685  0.292
S  0.484  0.274  0.340
S  0.759  0.923  0.440
S  0.839  0.569  0.450
S  0.161  0.431  0.550
S  0.241  0.077  0.560
S  0.516  0.726  0.660
S  0.543  0.315  0.708
S  0.957  0.815  0.792
S  0.984  0.226  0.840
S  0.259  0.577  0.940
S  0.339  0.931  0.950
Sb  0.857  0.225  0.039
Sb  0.643  0.725  0.461
Sb  0.357  0.275  0.539
Sb  0.143  0.775  0.961

Values from the calculation:
Electronic total energy ... -122.20 eV per cell
Space-group type ... P2_1/c (14)



No. 3
Crystalline Rb2Ag3Sb3S7 at its relaxed geometry, computed with PBE.

Cell lengths 13.702, 13.702, 6.951 Å; angles 90.00, 90.00, 39.62 degrees
Positions (direct):
Ag  0.422  0.401  0.101
Ag  0.599  0.578  0.101
Ag  0.678  0.322  0.334
Ag  0.401  0.422  0.601
Ag  0.578  0.599  0.601
Ag  0.322  0.678  0.834
Rb  0.107  0.481  0.159
Rb  0.519  0.893  0.159
Rb  0.481  0.107  0.659
Rb  0.893  0.519  0.659
S  0.167  0.688  0.080
S  0.312  0.833  0.080
S  0.490  0.175  0.162
S  0.825  0.510  0.162
S  0.190  0.180  0.406
S  0.820  0.810  0.406
S  0.385  0.615  0.490
S  0.688  0.167  0.580
S  0.833  0.312  0.580
S  0.175  0.490  0.662
S  0.510  0.825  0.662
S  0.180  0.190  0.906
S  0.810  0.820  0.906
S  0.615  0.385  0.990
Sb  0.018  0.233  0.164
Sb  0.767  0.982  0.164
Sb  0.165  0.835  0.290
Sb  0.233  0.018  0.664
Sb  0.982  0.767  0.664
Sb  0.835  0.165  0.790

Values from the calculation:
Electronic total energy ... -117.03 eV per cell
Space-group type ... Cmc2_1 (36)



No. 4
Crystalline Rb2Ag2SeS at its relaxed geometry, computed with PBE.

Cell lengths 5.571, 8.149, 8.149 Å; angles 36.34, 90.00, 90.00 degrees
Positions (direct):
Ag  0.249  0.996  0.996
Ag  0.751  0.996  0.996
Rb  0.500  0.350  0.350
Rb  0.000  0.656  0.656
S  0.000  0.871  0.871
Se  0.500  0.131  0.131

Values from the calculation:
Electronic total energy ... -19.25 eV per cell
Space-group type ... Amm2 (38)



Which of these has the highest electronic total energy? Rb2Ag2SeS



Please write out number 1 again, unchanged.
Crystalline Rb2Ag3S4 at its relaxed geometry, computed with PBE.

Cell lengths 8.928, 7.890, 6.290 Å; angles 77.13, 59.49, 43.38 degrees
Positions (direct):
Ag  0.500  0.500  0.000
Ag  0.000  0.000  0.500
Ag  0.500  0.500  0.500
Rb  0.832  0.832  0.168
Rb  0.168  0.168  0.832
S  0.459  0.782  0.218
S  0.218  0.541  0.459
S  0.782  0.459  0.541
S  0.541  0.218  0.782

Values from the calculation:
Electronic total energy ... -29.89 eV per cell
Space-group type ... Fmmm (69)